An optimized crystal structure of LiZn2Cr. Source: Alexandria, functional GGA-PBE.

* uncorrected energy: -3.33 eV/atom
* energy of formation: 0.19 eV per atom
* magnetic moment: 0.00 μB/f.u.

a b c (Å): 2.519 2.519 8.710
angles (deg): 90.00 90.00 101.40
Sites, in units of the cell vectors:
Zn1 0.000 0.000 0.997
Zn2 0.500 0.500 0.259
Li1 0.500 0.500 0.750
Cr1 0.000 0.000 0.494